# 1
Computed, not measured: an optimized crystal structure of Sc2AgP at the PBE level of DFT.

abc: 4.755 4.755 4.755
angles: 60.00 60.00 60.00
Atoms (fractional coordinates):
P 0.250 0.250 0.250
Sc 0.750 0.750 0.750
Sc 0.000 0.000 0.000
Ag 0.500 0.500 0.500

Calculated values
- Total energy: -5.171 eV/atom
- Magnetic moment: 0.0 Bohr magnetons per cell

# 2
Computed, not measured: an optimized crystal structure of MgVNi2 at the PBE level of DFT.

abc: 2.952 2.952 6.225
angles: 90.00 90.00 90.00
Atoms (fractional coordinates):
Ni 0.000 0.000 0.207
Mg 0.500 0.500 0.500
V 0.500 0.500 0.000
Ni 0.000 0.000 0.793

Calculated values
- Total energy: -5.708 eV/atom
- Magnetic moment: 0.0 Bohr magnetons per cell